! GGA-PBE KTl4Mo, optimized geometry; values from VASP
&SYSTEM
  ibrav = 0, nat = 6, ntyp = 3
/
ATOMIC_SPECIES
K 39.10 K.upf
Tl 204.38 Tl.upf
Mo 95.94 Mo.upf
ATOMIC_POSITIONS angstrom
K 0.0000 0.0000 0.0000
Tl 3.4034 3.4034 3.4034
Tl 5.6525 5.6525 3.4034
Tl 5.6525 3.4034 5.6525
Tl 3.4034 5.6525 5.6525
Mo 6.7919 6.7919 6.7919
CELL_PARAMETERS angstrom
0.0000 4.5279 4.5279
4.5279 0.0000 4.5279
4.5279 4.5279 0.0000
! Space group: F-43m, No. 216

! GGA-PBE KTl2Mo, optimized geometry; values from VASP
&SYSTEM
  ibrav = 0, nat = 16, ntyp = 3
/
ATOMIC_SPECIES
K 39.10 K.upf
Tl 204.38 Tl.upf
Mo 95.94 Mo.upf
ATOMIC_POSITIONS angstrom
K 0.0000 0.0000 0.0000
K 0.0000 3.7675 3.7675
K 3.7675 0.0000 3.7675
K 3.7675 3.7675 0.0000
Tl 1.8838 1.8838 1.8838
Tl 1.8838 1.8838 5.6513
Tl 1.8838 5.6513 1.8838
Tl 1.8838 5.6513 5.6513
Tl 5.6513 1.8838 1.8838
Tl 5.6513 1.8838 5.6513
Tl 5.6513 5.6513 1.8838
Tl 5.6513 5.6513 5.6513
Mo 0.0000 0.0000 3.7675
Mo 0.0000 3.7675 0.0000
Mo 3.7675 0.0000 0.0000
Mo 3.7675 3.7675 3.7675
CELL_PARAMETERS angstrom
7.5350 0.0000 0.0000
0.0000 7.5350 0.0000
0.0000 0.0000 7.5350
! Space group: Fm-3m, No. 225
! ΔE to the lowest computed polymorph, eV per atom: 0.277

! GGA-PBE KTl2Mo, optimized geometry; values from VASP
&SYSTEM
  ibrav = 0, nat = 4, ntyp = 3
/
ATOMIC_SPECIES
K 39.10 K.upf
Tl 204.38 Tl.upf
Mo 95.94 Mo.upf
ATOMIC_POSITIONS angstrom
K 0.0000 0.0000 0.0000
Tl 1.5396 2.1416 2.4319
Tl 1.5396 2.1416 5.5139
Mo 0.0000 0.0000 3.9729
CELL_PARAMETERS angstrom
3.0793 0.0000 0.0000
0.0000 4.2831 0.0000
0.0000 0.0000 7.9458
! Space group: Pmmm, No. 47
! ΔE to the lowest computed polymorph, eV per atom: 0.049

! GGA-PBE K4TlMo, optimized geometry; values from VASP
&SYSTEM
  ibrav = 0, nat = 6, ntyp = 3
/
ATOMIC_SPECIES
K 39.10 K.upf
Tl 204.38 Tl.upf
Mo 95.94 Mo.upf
ATOMIC_POSITIONS angstrom
K 1.2779 1.2779 1.2779
K 3.8379 3.8379 1.2779
K 3.8379 1.2779 3.8379
K 1.2779 3.8379 3.8379
Tl 5.1158 5.1158 5.1158
Mo 7.6737 7.6737 7.6737
CELL_PARAMETERS angstrom
0.0000 5.1158 5.1158
5.1158 0.0000 5.1158
5.1158 5.1158 0.0000
! Space group: F-43m, No. 216

! GGA-PBE KTlMo, optimized geometry; values from VASP
&SYSTEM
  ibrav = 0, nat = 6, ntyp = 3
/
ATOMIC_SPECIES
K 39.10 K.upf
Tl 204.38 Tl.upf
Mo 95.94 Mo.upf
ATOMIC_POSITIONS angstrom
K 0.0000 0.0000 0.0000
K 1.5043 2.3825 6.2855
Tl 0.0000 0.0000 3.4357
Tl 1.5043 2.3825 9.7212
Mo 0.0000 0.0000 9.1712
Mo 1.5043 2.3825 2.8857
CELL_PARAMETERS angstrom
3.0086 0.0000 0.0000
0.0000 4.7649 0.0000
0.0000 0.0000 12.5710
! Space group: Imm2, No. 44
! ΔE to the lowest computed polymorph, eV per atom: 0.000

! GGA-PBE KTl2Mo, optimized geometry; values from VASP
&SYSTEM
  ibrav = 0, nat = 12, ntyp = 3
/
ATOMIC_SPECIES
K 39.10 K.upf
Tl 204.38 Tl.upf
Mo 95.94 Mo.upf
ATOMIC_POSITIONS angstrom
K 0.0000 0.0000 0.0000
K 0.0000 1.8809 21.5009
K 1.6289 0.9404 10.7504
Tl 0.0000 0.0000 7.7447
Tl 0.0000 0.0000 24.5067
Tl 0.0000 1.8809 13.7562
Tl 0.0000 1.8809 29.2456
Tl 1.6289 0.9404 3.0058
Tl 1.6289 0.9404 18.4951
Mo 0.0000 0.0000 16.1257
Mo 0.0000 1.8809 5.3752
Mo 1.6289 0.9404 26.8761
CELL_PARAMETERS angstrom
3.2577 0.0000 0.0000
-1.6289 2.8213 0.0000
0.0000 0.0000 32.2514
! Space group: R-3m, No. 166
! ΔE to the lowest computed polymorph, eV per atom: 0.086

Number 1: theoretical density 8.52 g/cm3, size of the total moment 4.46 μB per formula unit, E_form 65.3 kJ/mol of atoms. Number 2: theoretical density 8.44 g/cm3, size of the total moment 3.24 μB per formula unit, E_form 76.2 kJ/mol of atoms. Number 3: theoretical density 8.62 g/cm3, size of the total moment 1.36 μB per formula unit, E_form 54.2 kJ/mol of atoms. Number 4: theoretical density 2.83 g/cm3, size of the total moment 4.36 μB per formula unit, E_form 93.7 kJ/mol of atoms. Number 5: theoretical density 6.26 g/cm3, size of the total moment 1.76 μB per formula unit, E_form 90.3 kJ/mol of atoms. Number 6: theoretical density 9.14 g/cm3, size of the total moment 0.00 μB per formula unit, E_form 57.7 kJ/mol of atoms.